(1)
A plane-wave DFT calculation with PBE-GGA was carried out for an optimized crystal structure of GdSc2Mn.

Summary:
* DFT formation energy: 0.22 eV per atom
* energy above the lowest structure with this stoichiometry: 143 meV/atom

abc: 5.0343 5.0343 5.0443
angles: 60.07 60.07 60.00
Fractional positions:
Sc (0.2507, 0.2507, 0.2479)
Sc (0.7493, 0.7493, 0.7521)
Gd (0.5000, 0.5000, 0.5000)
Mn (0.0000, 0.0000, 0.0000)

(2)
A plane-wave DFT calculation with PBE-GGA was carried out for an optimized crystal structure of GdMn2Si2.

Summary:
* formation energy (no corrections): -612 meV/atom

abc: 5.8876 5.8876 5.8876
angles: 141.22 141.22 56.00
Fractional positions:
Gd (0.0000, 0.0000, 0.0000)
Mn (0.2500, 0.7500, 0.5000)
Mn (0.7500, 0.2500, 0.5000)
Si (0.6209, 0.6209, 0.0000)
Si (0.3791, 0.3791, 0.0000)

| no. | uncorrected energy (eV/f.u.) | M_tot (μB/f.u.) |
| --- | --- | --- |
| 1 | -35.03 | 5.46 |
| 2 | -46.33 | 3.38 |